Here is a geometry-optimized FeReRu structure from Alexandria. Energies are from PBE-GGA.

abc: 4.614 4.614 4.614
angles: 145.94 131.80 60.33
Atoms (fractional coordinates):
Fe1 0.000 0.000 0.000
Re1 0.334 0.334 0.000
Ru1 0.665 0.665 0.000

## Properties
ΔE to the lowest computed polymorph = 0 meV/atom
total moment = 0.720 μB per atom
formation enthalpy at 0 K = 0.209 eV/f.u.
space group = Imm2
density of states at the Fermi level = 3.173 states/eV/cell
uncorrected energy = -9.9924 eV per atom
volume = 13.5 Å³ per atom



Here is a geometry-optimized PuMnGaTc structure from Alexandria. Energies are from PBE-GGA.

abc: 4.499 4.499 4.499
angles: 60.00 60.00 60.00
Atoms (fractional coordinates):
Mn1 0.000 0.000 0.000
Tc1 0.500 0.500 0.500
Ga1 0.250 0.250 0.250
Pu1 0.750 0.750 0.750

## Properties
total moment = 0.482 μB per atom
formation enthalpy at 0 K = -0.464 eV/f.u.
space group = F-43m
density of states at the Fermi level = 5.520 states/eV/cell
uncorrected energy = -9.3395 eV per atom
volume = 16.1 Å³ per atom



Here is a geometry-optimized Y3RuBr structure from Alexandria. Energies are from PBE-GGA.

abc: 5.408 5.408 5.408
angles: 90.00 90.00 90.00
Atoms (fractional coordinates):
Y1 0.000 0.500 0.000
Y2 0.000 0.000 0.500
Y3 0.500 0.000 0.000
Ru1 0.000 0.000 0.000
Br1 0.500 0.500 0.500

## Properties
raw formation energy = -0.24 eV/atom
ΔE to the lowest computed polymorph = 0 meV/atom
total moment = 0.000 μB per atom
space group = Pm-3m
density of states at the Fermi level = 6.462 states/eV/cell
uncorrected energy = -6.3106 eV per atom
volume = 31.6 Å³ per atom



Here is a geometry-optimized Ce3Pr3PuSe8 structure from Alexandria. Energies are from PBE-GGA.

abc: 8.434 8.435 8.460
angles: 119.90 90.00 120.00
Atoms (fractional coordinates):
Ce1 0.500 0.000 0.500
Ce2 0.500 0.500 0.500
Ce3 0.000 0.500 0.500
Pr1 0.000 0.000 0.000
Pr2 0.000 0.500 0.000
Pr3 0.500 0.500 0.000
Pu1 0.000 0.000 0.500
Se1 0.251 0.503 0.254
Se2 0.749 0.497 0.746
Se3 0.751 0.503 0.255
Se4 0.249 0.497 0.745
Se5 0.751 0.003 0.255
Se6 0.249 0.997 0.745
Se7 0.252 0.003 0.255
Se8 0.748 0.997 0.745

## Properties
raw formation energy = -1.81 eV/atom
total moment = 0.606 μB per atom
space group = R-3m
density of states at the Fermi level = 27.595 states/eV/cell
uncorrected energy = -6.7687 eV per atom
volume = 28.4 Å³ per atom